# 1
The following is a GGA-PBE calculation of a geometry-optimized AcPmNd6Dy2 structure, from Alexandria.

Magnetic moment   0.0 μB per formula unit
SG   C2/c, No. 15
ΔE_f   1.18 eV/f.u.
VASP energy   -4.55 eV per atom

```
data_AcPmNd6Dy2
_cell_length_a 9.078
_cell_length_b 9.078
_cell_length_c 9.857
_cell_angle_alpha 93.28
_cell_angle_beta 93.28
_cell_angle_gamma 117.49
_space_group_name_H-M_alt 'P 1'
_space_group_IT_number 1
loop_
_space_group_symop_operation_xyz
'x,y,z'
loop_
_atom_site_label
_atom_site_type_symbol
_atom_site_fract_x
_atom_site_fract_y
_atom_site_fract_z
Ac1 Ac 0.029 0.971 0.750
Ac2 Ac 0.971 0.029 0.250
Pm1 Pm 0.410 0.590 0.250
Pm2 Pm 0.590 0.410 0.750
Nd1 Nd 0.014 0.555 0.681
Nd2 Nd 0.117 0.751 0.054
Nd3 Nd 0.249 0.883 0.446
Nd4 Nd 0.293 0.510 0.881
Nd5 Nd 0.445 0.986 0.819
Nd6 Nd 0.490 0.707 0.619
Nd7 Nd 0.510 0.293 0.381
Nd8 Nd 0.555 0.014 0.181
Nd9 Nd 0.707 0.490 0.119
Nd10 Nd 0.751 0.117 0.554
Nd11 Nd 0.883 0.249 0.946
Nd12 Nd 0.986 0.445 0.319
Dy1 Dy 0.201 0.308 0.547
Dy2 Dy 0.308 0.201 0.047
Dy3 Dy 0.692 0.799 0.953
Dy4 Dy 0.799 0.692 0.453
```



# 2
The following is a GGA-PBE calculation of a geometry-optimized BeTc2As structure, from Alexandria.

Magnetic moment   0.0 μB per formula unit
SG   Cmmm, No. 65
ΔE_f   1.18 eV/f.u.
VASP energy   -6.98 eV per atom
Distance to the lowest polymorph of the same formula   459 meV/atom

```
data_BeTc2As
_cell_length_a 2.861
_cell_length_b 2.861
_cell_length_c 7.469
_cell_angle_alpha 90.00
_cell_angle_beta 90.00
_cell_angle_gamma 115.46
_space_group_name_H-M_alt 'P 1'
_space_group_IT_number 1
loop_
_space_group_symop_operation_xyz
'x,y,z'
loop_
_atom_site_label
_atom_site_type_symbol
_atom_site_fract_x
_atom_site_fract_y
_atom_site_fract_z
Be1 Be 0.000 0.000 0.000
Tc1 Tc 0.500 0.500 0.239
Tc2 Tc 0.500 0.500 0.761
As1 As 0.000 0.000 0.500
```



# 3
The following is a GGA-PBE calculation of a geometry-optimized Sc2B2Pd structure, from Alexandria.

Magnetic moment   0.0 μB per formula unit
SG   P4/mbm, No. 127
ΔE_f   -3.15 eV/f.u.
VASP energy   -6.87 eV per atom

```
data_Sc2B2Pd
_cell_length_a 6.055
_cell_length_b 6.055
_cell_length_c 3.598
_cell_angle_alpha 90.00
_cell_angle_beta 90.00
_cell_angle_gamma 90.00
_space_group_name_H-M_alt 'P 1'
_space_group_IT_number 1
loop_
_space_group_symop_operation_xyz
'x,y,z'
loop_
_atom_site_label
_atom_site_type_symbol
_atom_site_fract_x
_atom_site_fract_y
_atom_site_fract_z
Sc1 Sc 0.178 0.322 0.000
Sc2 Sc 0.322 0.822 0.000
Sc3 Sc 0.678 0.178 0.000
Sc4 Sc 0.822 0.678 0.000
B1 B 0.103 0.603 0.500
B2 B 0.397 0.103 0.500
B3 B 0.603 0.897 0.500
B4 B 0.897 0.397 0.500
Pd1 Pd 0.000 0.000 0.500
Pd2 Pd 0.500 0.500 0.500
```



# 4
The following is a GGA-PBE calculation of a geometry-optimized DyErPt2 structure, from Alexandria.

Magnetic moment   0.0 μB per formula unit
SG   Fm-3m, No. 225
ΔE_f   -4.98 eV/f.u.
VASP energy   -6.56 eV per atom
Distance to the lowest polymorph of the same formula   53 meV/atom

```
data_DyErPt2
_cell_length_a 4.923
_cell_length_b 4.923
_cell_length_c 4.923
_cell_angle_alpha 60.00
_cell_angle_beta 60.00
_cell_angle_gamma 60.00
_space_group_name_H-M_alt 'P 1'
_space_group_IT_number 1
loop_
_space_group_symop_operation_xyz
'x,y,z'
loop_
_atom_site_label
_atom_site_type_symbol
_atom_site_fract_x
_atom_site_fract_y
_atom_site_fract_z
Dy1 Dy 0.000 0.000 0.000
Er1 Er 0.500 0.500 0.500
Pt1 Pt 0.250 0.250 0.250
Pt2 Pt 0.750 0.750 0.750
```



# 5
The following is a GGA-PBE calculation of a geometry-optimized Er4Tm3Mg structure, from Alexandria.

Magnetic moment   0.0 μB per formula unit
SG   Imm2, No. 44
ΔE_f   3.64 eV/f.u.
VASP energy   -3.70 eV per atom
Distance to the lowest polymorph of the same formula   212 meV/atom

```
data_Er4Tm3Mg
_cell_length_a 7.252
_cell_length_b 7.252
_cell_length_c 7.252
_cell_angle_alpha 130.78
_cell_angle_beta 105.70
_cell_angle_gamma 94.38
_space_group_name_H-M_alt 'P 1'
_space_group_IT_number 1
loop_
_space_group_symop_operation_xyz
'x,y,z'
loop_
_atom_site_label
_atom_site_type_symbol
_atom_site_fract_x
_atom_site_fract_y
_atom_site_fract_z
Er1 Er 0.174 0.000 0.174
Er2 Er 0.452 0.202 0.750
Er3 Er 0.452 0.702 0.250
Er4 Er 0.826 0.000 0.826
Tm1 Tm 0.139 0.639 0.500
Tm2 Tm 0.631 0.313 0.318
Tm3 Tm 0.995 0.313 0.682
Mg1 Mg 0.726 0.726 0.000
```



# 6
The following is a GGA-PBE calculation of a geometry-optimized TbCeZr2 structure, from Alexandria.

Magnetic moment   0.0 μB per formula unit
SG   P4/mmm, No. 123
ΔE_f   0.57 eV/f.u.
VASP energy   -6.77 eV per atom
Distance to the lowest polymorph of the same formula   18 meV/atom

```
data_TbCeZr2
_cell_length_a 4.674
_cell_length_b 4.674
_cell_length_c 4.812
_cell_angle_alpha 90.00
_cell_angle_beta 90.00
_cell_angle_gamma 90.00
_space_group_name_H-M_alt 'P 1'
_space_group_IT_number 1
loop_
_space_group_symop_operation_xyz
'x,y,z'
loop_
_atom_site_label
_atom_site_type_symbol
_atom_site_fract_x
_atom_site_fract_y
_atom_site_fract_z
Tb1 Tb 0.000 0.000 0.000
Ce1 Ce 0.500 0.500 0.000
Zr1 Zr 0.000 0.500 0.500
Zr2 Zr 0.500 0.000 0.500
```



# 7
The following is a GGA-PBE calculation of a geometry-optimized Zr3Se4 structure, from Alexandria.

Uncorrected formation energy   -0.56 eV per atom
Magnetic moment   0.0 μB per formula unit
SG   P6/mmm, No. 191
VASP energy   -6.22 eV per atom
Distance to the lowest polymorph of the same formula   722 meV/atom

```
data_Zr3Se4
_cell_length_a 6.025
_cell_length_b 6.025
_cell_length_c 4.776
_cell_angle_alpha 90.00
_cell_angle_beta 90.00
_cell_angle_gamma 120.00
_space_group_name_H-M_alt 'P 1'
_space_group_IT_number 1
loop_
_space_group_symop_operation_xyz
'x,y,z'
loop_
_atom_site_label
_atom_site_type_symbol
_atom_site_fract_x
_atom_site_fract_y
_atom_site_fract_z
Zr1 Zr 0.000 0.500 0.000
Zr2 Zr 0.500 0.000 0.000
Zr3 Zr 0.500 0.500 0.000
Se1 Se 0.000 0.000 0.253
Se2 Se 0.000 0.000 0.747
Se3 Se 0.333 0.667 0.500
Se4 Se 0.667 0.333 0.500
```



# 8
The following is a GGA-PBE calculation of a geometry-optimized LiCuMo2 structure, from Alexandria.

Magnetic moment   0.0 μB per formula unit
SG   P4mm, No. 99
ΔE_f   1.10 eV/f.u.
VASP energy   -6.64 eV per atom
Distance to the lowest polymorph of the same formula   99 meV/atom

```
data_LiCuMo2
_cell_length_a 2.619
_cell_length_b 2.619
_cell_length_c 8.591
_cell_angle_alpha 90.00
_cell_angle_beta 90.00
_cell_angle_gamma 90.00
_space_group_name_H-M_alt 'P 1'
_space_group_IT_number 1
loop_
_space_group_symop_operation_xyz
'x,y,z'
loop_
_atom_site_label
_atom_site_type_symbol
_atom_site_fract_x
_atom_site_fract_y
_atom_site_fract_z
Li1 Li 0.000 0.000 0.000
Cu1 Cu 0.500 0.500 0.774
Mo1 Mo 0.000 0.000 0.541
Mo2 Mo 0.500 0.500 0.269
```



# 9
The following is a GGA-PBE calculation of a geometry-optimized Rb2DyIrO6 structure, from Alexandria.

Uncorrected formation energy   -1.67 eV per atom
Magnetic moment   0.0 μB per formula unit
SG   Fm-3m, No. 225
VASP energy   -6.19 eV per atom

```
data_Rb2DyIrO6
_cell_length_a 5.941
_cell_length_b 5.941
_cell_length_c 5.941
_cell_angle_alpha 60.00
_cell_angle_beta 60.00
_cell_angle_gamma 60.00
_space_group_name_H-M_alt 'P 1'
_space_group_IT_number 1
loop_
_space_group_symop_operation_xyz
'x,y,z'
loop_
_atom_site_label
_atom_site_type_symbol
_atom_site_fract_x
_atom_site_fract_y
_atom_site_fract_z
Rb1 Rb 0.250 0.250 0.250
Rb2 Rb 0.750 0.750 0.750
Dy1 Dy 0.000 0.000 0.000
Ir1 Ir 0.500 0.500 0.500
O1 O 0.270 0.270 0.730
O2 O 0.270 0.730 0.270
O3 O 0.270 0.730 0.730
O4 O 0.730 0.270 0.270
O5 O 0.730 0.270 0.730
O6 O 0.730 0.730 0.270
```



# 10
The following is a GGA-PBE calculation of a geometry-optimized BeAg2Ge structure, from Alexandria.

Magnetic moment   0.0 μB per formula unit
SG   Fm-3m, No. 225
ΔE_f   1.48 eV/f.u.
VASP energy   -3.14 eV per atom
Distance to the lowest polymorph of the same formula   0 meV/atom

```
data_BeAg2Ge
_cell_length_a 4.491
_cell_length_b 4.491
_cell_length_c 4.491
_cell_angle_alpha 60.00
_cell_angle_beta 60.00
_cell_angle_gamma 60.00
_space_group_name_H-M_alt 'P 1'
_space_group_IT_number 1
loop_
_space_group_symop_operation_xyz
'x,y,z'
loop_
_atom_site_label
_atom_site_type_symbol
_atom_site_fract_x
_atom_site_fract_y
_atom_site_fract_z
Be1 Be 0.000 0.000 0.000
Ag1 Ag 0.250 0.250 0.250
Ag2 Ag 0.750 0.750 0.750
Ge1 Ge 0.500 0.500 0.500
```



# 11
The following is a GGA-PBE calculation of a geometry-optimized HgPb2 structure, from Alexandria.

Magnetic moment   0.0 μB per formula unit
SG   P-3m1, No. 164
ΔE_f   0.05 eV/f.u.
VASP energy   -2.56 eV per atom
Distance to the lowest polymorph of the same formula   4 meV/atom

```
data_HgPb2
_cell_length_a 3.582
_cell_length_b 3.582
_cell_length_c 8.010
_cell_angle_alpha 90.00
_cell_angle_beta 90.00
_cell_angle_gamma 120.00
_space_group_name_H-M_alt 'P 1'
_space_group_IT_number 1
loop_
_space_group_symop_operation_xyz
'x,y,z'
loop_
_atom_site_label
_atom_site_type_symbol
_atom_site_fract_x
_atom_site_fract_y
_atom_site_fract_z
Hg1 Hg 0.000 0.000 0.000
Pb1 Pb 0.333 0.667 0.325
Pb2 Pb 0.667 0.333 0.675
```



# 12
The following is a GGA-PBE calculation of a geometry-optimized NaCoSbTe2 structure, from Alexandria.

Uncorrected formation energy   1.20 eV per atom
Magnetic moment   2.4 μB per formula unit
SG   P4/mmm, No. 123
VASP energy   -2.57 eV per atom
Distance to the lowest polymorph of the same formula   1168 meV/atom

```
data_NaCoSbTe2
_cell_length_a 5.467
_cell_length_b 5.467
_cell_length_c 5.290
_cell_angle_alpha 90.00
_cell_angle_beta 90.00
_cell_angle_gamma 90.00
_space_group_name_H-M_alt 'P 1'
_space_group_IT_number 1
loop_
_space_group_symop_operation_xyz
'x,y,z'
loop_
_atom_site_label
_atom_site_type_symbol
_atom_site_fract_x
_atom_site_fract_y
_atom_site_fract_z
Na1 Na 0.000 0.000 0.000
Co1 Co 0.500 0.500 0.500
Sb1 Sb 0.000 0.000 0.500
Te1 Te 0.000 0.500 0.000
Te2 Te 0.500 0.000 0.000
```



> What is the formula in the ninth record?

Rb2DyIrO6